Entry 1:
The following is a PBE calculation of a relaxed Nd2ErIn2Hg2 crystal, from Alexandria.

Cell lengths 9.786, 9.786, 9.786 Å; angles 29.08, 29.08, 29.08 degrees
Sites, in units of the cell vectors:
Nd (0.127, 0.127, 0.127)
Nd (0.873, 0.873, 0.873)
Er (0.000, 0.000, 0.000)
In (0.260, 0.260, 0.260)
In (0.740, 0.740, 0.740)
Hg (0.386, 0.386, 0.386)
Hg (0.614, 0.614, 0.614)

Computed properties:
For the total energy, the calculation gives -22.211 eV for the cell shown. As for the space group: R-3m. The formation energy is -0.290 eV/atom.

Entry 2:
The following is a PBE calculation of a relaxed Nd5Dy2 crystal, from Alexandria.

Cell lengths 8.447, 8.447, 11.474 Å; angles 131.39, 131.39, 24.32 degrees
Sites, in units of the cell vectors:
Nd (0.000, 0.000, 0.000)
Nd (0.162, 0.162, 0.667)
Nd (0.369, 0.369, 0.638)
Nd (0.631, 0.631, 0.362)
Nd (0.838, 0.838, 0.333)
Dy (0.363, 0.363, 0.088)
Dy (0.637, 0.637, 0.912)

Computed properties:
For the total energy, the calculation gives -31.713 eV for the cell shown. As for the space group: C2/m. The formation energy is 0.190 eV/atom. As for the distance to the lowest polymorph of the same formula: 0.162 eV/atom.

Entry 3:
The following is a PBE calculation of a relaxed TcSb2Te crystal, from Alexandria.

Cell lengths 5.169, 5.169, 3.488 Å; angles 90.00, 90.00, 90.00 degrees
Sites, in units of the cell vectors:
Tc (0.000, 0.000, 0.000)
Sb (0.000, 0.500, 0.500)
Sb (0.500, 0.000, 0.500)
Te (0.500, 0.500, 0.000)

Computed properties:
For the total energy, the calculation gives -18.950 eV for the cell shown. As for the space group: P4/mmm. The formation energy without anion corrections comes out at 68 kJ per mole of atoms. As for the distance to the lowest polymorph of the same formula: 0.642 eV/atom.

Entry 4:
The following is a PBE calculation of a relaxed HoFe2Ge2C crystal, from Alexandria.

Cell lengths 3.933, 3.933, 5.362 Å; angles 90.00, 90.00, 90.00 degrees
Sites, in units of the cell vectors:
Ho (0.000, 0.000, 0.000)
Fe (0.000, 0.500, 0.500)
Fe (0.500, 0.000, 0.500)
Ge (0.500, 0.500, 0.229)
Ge (0.500, 0.500, 0.771)
C (0.000, 0.000, 0.500)

Computed properties:
For the total energy, the calculation gives -41.570 eV for the cell shown. As for the space group: P4/mmm. The formation energy is -0.268 eV/atom.

Number 1: total moment 0.00 μB per formula unit, DOS(E_F) 4.276 states/eV/f.u.. Number 2: total moment 0.00 μB per formula unit, DOS(E_F) 11.429 states/eV/f.u.. Number 3: total moment 2.13 μB per formula unit, DOS(E_F) 3.920 states/eV/f.u.. Number 4: total moment 2.16 μB per formula unit, DOS(E_F) 4.103 states/eV/f.u..